# ErTm2Bi3

ErTm2Bi3 after structural relaxation (PBE-GGA, Alexandria via LeMat-Bulk).

extended XYZ file:
```
6
Lattice="4.4362 0.0000 0.0000 0.0000 6.2683 0.0000 -2.2181 -3.1342 6.6531" Properties=species:S:1:pos:R:3 pbc="T T T"
Er 1.1091 1.5671 3.3266
Tm 3.3272 4.7012 1.1125
Tm -1.1090 -1.5671 5.5406
Bi 3.3272 1.5671 1.1000
Bi -1.1091 1.5671 5.5531
Bi 1.1091 -1.5671 3.3266
```

formation enthalpy at 0 K: -0.792 eV per atom
DFT total energy: -4.984 eV per atom
symmetry: Immm, No. 71

***

# Er2TmBi2

Er2TmBi2 after structural relaxation (PBE-GGA, Alexandria via LeMat-Bulk).

extended XYZ file:
```
10
Lattice="4.3796 0.0000 0.0000 -2.1898 5.7444 0.0000 0.0000 0.0000 12.1576" Properties=species:S:1:pos:R:3 pbc="T T T"
Er 2.1898 5.4261 1.7478
Er 0.0000 3.8215 9.8387
Er 0.0000 0.3182 7.8266
Er 2.1898 1.9229 3.7599
Tm 2.1898 1.9206 12.0395
Tm 0.0000 3.8238 5.9607
Bi 0.0000 3.1494 1.8006
Bi 0.0000 0.0628 10.8674
Bi 2.1898 2.5950 7.8794
Bi 2.1898 5.6815 4.7886
```

formation enthalpy at 0 K: -0.524 eV per atom
DFT total energy: -4.796 eV per atom
symmetry: Cmc2_1, No. 36